Entry 1:
10
Lattice="3.243 0.000 0.000 0.000 3.243 0.000 0.000 0.000 18.001" Properties=species:S:1:pos:R:3 comment="PBE YSc5Ru4, relaxed" dos_at_fermi_per_ev_cell=10.01 e_form_kj_per_mol_atoms=-44 pbc="T T T"
Y 0.000 0.000 0.000
Sc 1.621 1.621 2.707
Sc 1.621 1.621 5.846
Sc 1.621 1.621 9.000
Sc 1.621 1.621 12.155
Sc 1.621 1.621 15.294
Ru 0.000 0.000 4.126
Ru 0.000 0.000 7.393
Ru 0.000 0.000 10.608
Ru 0.000 0.000 13.875

Entry 2:
4
Lattice="0.000 3.890 3.890 3.890 0.000 3.890 3.890 3.890 0.000" Properties=species:S:1:pos:R:3 comment="PBE CaGdHoIn, relaxed" dos_at_fermi_per_ev_cell=5.39 e_form_kj_per_mol_atoms=-14 pbc="T T T"
Ca 0.000 0.000 0.000
Gd 5.836 5.836 5.836
Ho 1.945 1.945 1.945
In 3.890 3.890 3.890

Entry 3:
5
Lattice="5.702 0.000 0.000 0.000 5.702 0.000 0.000 0.000 5.702" Properties=species:S:1:pos:R:3 comment="PBE SrAl3Fe, relaxed" dos_at_fermi_per_ev_cell=11.69 e_form_kj_per_mol_atoms=187 pbc="T T T"
Sr 0.000 0.000 0.000
Al 0.000 0.000 2.851
Al 0.000 2.851 0.000
Al 2.851 0.000 0.000
Fe 2.851 2.851 2.851

Entry 4:
5
Lattice="-1.736 1.736 7.673 1.736 -1.736 7.673 1.736 1.736 -7.673" Properties=species:S:1:pos:R:3 comment="PBE Sc2ReRh2, relaxed" de_polymorph_mev_per_atom=379 dos_at_fermi_per_ev_cell=6.83 e_form_kj_per_mol_atoms=10 pbc="T T T"
Sc 0.000 0.000 1.535
Sc 0.000 0.000 13.811
Re 0.000 0.000 7.673
Rh 1.736 0.000 3.836
Rh 0.000 1.736 3.836

Entry 5:
10
Lattice="7.349 0.000 0.000 0.000 7.349 0.000 0.000 0.000 5.739" Properties=species:S:1:pos:R:3 comment="PBE K2CdGa2, relaxed" de_polymorph_mev_per_atom=54 dos_at_fermi_per_ev_cell=4.70 e_form_kj_per_mol_atoms=1 pbc="T T T"
K 1.353 2.322 0.000
K 2.322 5.996 0.000
K 5.027 1.353 0.000
K 5.996 5.027 0.000
Cd 0.000 0.000 2.869
Cd 3.674 3.674 2.869
Ga 0.898 4.573 2.869
Ga 2.776 0.898 2.869
Ga 4.573 6.450 2.869
Ga 6.450 2.776 2.869

Entry 6:
5
Lattice="5.578 0.000 0.000 0.000 5.578 0.000 0.000 0.000 5.578" Properties=species:S:1:pos:R:3 comment="PBE BaBr3Cl, relaxed" de_polymorph_mev_per_atom=0 dos_at_fermi_per_ev_cell=1.53 formation_energy_uncorrected_ev_per_atom=-0.83 pbc="T T T"
Ba 0.000 0.000 0.000
Br 0.000 2.789 2.789
Br 2.789 0.000 2.789
Br 2.789 2.789 0.000
Cl 2.789 2.789 2.789

Entry 7:
12
Lattice="7.652 -2.547 0.000 7.652 2.547 0.000 -5.087 0.000 10.401" Properties=species:S:1:pos:R:3 comment="PBE LaNd2Th3, relaxed" dos_at_fermi_per_ev_cell=18.15 e_form_kj_per_mol_atoms=2 pbc="T T T"
La 1.282 0.000 1.438
La 8.935 0.000 8.963
Nd -1.275 0.000 8.960
Nd 6.371 0.000 1.445
Nd 3.846 0.000 8.956
Nd 11.492 0.000 1.441
Th -1.267 0.000 3.986
Th 1.282 0.000 6.422
Th 3.830 0.000 3.991
Th 6.387 0.000 6.410
Th 8.935 0.000 3.980
Th 11.484 0.000 6.415

Entry 8:
5
Lattice="5.348 0.000 0.000 0.000 5.348 0.000 0.000 0.000 5.252" Properties=species:S:1:pos:R:3 comment="PBE MnAlSbTe2, relaxed" de_polymorph_mev_per_atom=91 dos_at_fermi_per_ev_cell=4.78 formation_energy_uncorrected_ev_per_atom=0.63 pbc="T T T"
Mn 0.000 0.000 0.000
Al 2.674 2.674 2.626
Sb 2.674 2.674 0.000
Te 0.000 2.674 2.626
Te 2.674 0.000 2.626

Entry 9:
4
Lattice="3.371 0.000 0.000 0.000 3.371 0.000 0.000 0.000 6.062" Properties=species:S:1:pos:R:3 comment="PBE InAgPd2, relaxed" dos_at_fermi_per_ev_cell=1.90 e_form_kj_per_mol_atoms=-32 pbc="T T T"
In 0.000 0.000 0.000
Ag 0.000 0.000 3.031
Pd 1.685 1.685 1.480
Pd 1.685 1.685 4.582

Entry 10:
4
Lattice="3.730 0.000 0.000 0.000 3.730 0.000 0.000 0.000 6.747" Properties=species:S:1:pos:R:3 comment="PBE Ce2UAl, relaxed" de_polymorph_mev_per_atom=52 dos_at_fermi_per_ev_cell=11.78 e_form_kj_per_mol_atoms=10 pbc="T T T"
Ce 0.000 0.000 1.679
Ce 0.000 0.000 5.069
U 1.865 1.865 0.000
Al 1.865 1.865 3.374

Entry 11:
4
Lattice="0.000 4.087 4.087 4.087 0.000 4.087 4.087 4.087 0.000" Properties=species:S:1:pos:R:3 comment="PBE AcNdEuIn, relaxed" dos_at_fermi_per_ev_cell=5.74 e_form_kj_per_mol_atoms=-7 pbc="T T T"
Ac 0.000 0.000 0.000
Nd 2.044 2.044 2.044
Eu 6.131 6.131 6.131
In 4.087 4.087 4.087

Entry 12:
13
Lattice="4.806 -6.824 0.000 4.806 6.824 0.000 0.000 0.000 4.797" Properties=species:S:1:pos:R:3 comment="PBE Ho8Ru3Pt2, relaxed" dos_at_fermi_per_ev_cell=6.43 e_form_kj_per_mol_atoms=-63 pbc="T T T"
Ho 4.806 5.189 0.000
Ho 2.405 1.637 2.399
Ho 2.405 -1.637 2.399
Ho 4.806 1.663 0.000
Ho 4.806 -1.663 0.000
Ho 7.207 1.637 2.399
Ho 7.207 -1.637 2.399
Ho 4.806 -5.189 0.000
Ru 2.409 0.000 0.000
Ru 4.806 0.000 2.399
Ru 7.203 0.000 0.000
Pt 4.806 3.418 2.399
Pt 4.806 -3.418 2.399

Entry 13:
22
Lattice="2.958 -4.884 0.000 2.958 4.884 0.000 0.000 0.000 25.947" Properties=species:S:1:pos:R:3 comment="PBE Pm6Pr4Sc, relaxed" dos_at_fermi_per_ev_cell=36.84 e_form_kj_per_mol_atoms=12 pbc="T T T"
Pm 0.000 0.000 0.000
Pm 0.000 0.000 12.974
Pm 2.958 4.444 19.460
Pm 2.958 1.977 2.830
Pm 2.958 1.977 10.144
Pm 2.958 1.210 17.774
Pm 2.958 1.210 21.147
Pm 2.958 -1.210 4.800
Pm 2.958 -1.210 8.174
Pm 2.958 -1.977 15.804
Pm 2.958 -1.977 23.117
Pm 2.958 -4.444 6.487
Pr 2.958 4.420 16.174
Pr 2.958 4.420 22.747
Pr 2.958 1.438 14.168
Pr 2.958 1.438 24.753
Pr 2.958 -1.438 1.195
Pr 2.958 -1.438 11.779
Pr 2.958 -4.420 3.201
Pr 2.958 -4.420 9.773
Sc 2.958 2.022 6.487
Sc 2.958 -2.022 19.460

Entry 14:
4
Lattice="1.462 -2.577 0.000 1.462 2.577 0.000 0.000 0.000 9.506" Properties=species:S:1:pos:R:3 comment="PBE Ag2RuCl, relaxed" de_polymorph_mev_per_atom=63 dos_at_fermi_per_ev_cell=3.16 formation_energy_uncorrected_ev_per_atom=0.38 pbc="T T T"
Ag 0.000 0.000 0.000
Ag 1.462 0.000 2.449
Ru 0.000 0.000 4.826
Cl 1.462 0.000 6.666

Entry 15:
18
Lattice="4.391 2.535 4.219 -4.391 2.535 4.219 0.000 -5.071 4.219" Properties=species:S:1:pos:R:3 comment="PBE Tm2Zn12GaCo3, relaxed" dos_at_fermi_per_ev_cell=10.26 e_form_kj_per_mol_atoms=2 pbc="T T T"
Tm 0.000 0.000 3.010
Tm 0.000 0.000 9.647
Zn -1.871 -1.080 5.510
Zn 0.000 -2.592 4.663
Zn -2.245 1.296 4.663
Zn -2.245 -1.296 7.994
Zn 0.000 -2.161 7.147
Zn -1.871 1.080 7.147
Zn 1.871 -1.080 5.510
Zn 0.000 2.161 5.510
Zn 2.245 1.296 4.663
Zn 2.245 -1.296 7.994
Zn 0.000 2.592 7.994
Zn 1.871 1.080 7.147
Ga 0.000 0.000 0.000
Co -4.391 0.000 6.328
Co -2.196 1.268 2.109
Co 2.196 1.268 2.109

Entry 16:
4
Lattice="2.912 0.000 0.000 0.000 3.919 0.000 0.000 0.000 6.007" Properties=species:S:1:pos:R:3 comment="PBE YIr2Rh, relaxed" de_polymorph_mev_per_atom=223 dos_at_fermi_per_ev_cell=5.88 e_form_kj_per_mol_atoms=-18 pbc="T T T"
Y 0.000 0.000 0.000
Ir 1.456 1.960 1.702
Ir 1.456 1.960 4.305
Rh 0.000 0.000 3.003

Entry 17:
4
Lattice="0.000 3.889 3.889 3.889 0.000 3.889 3.889 3.889 0.000" Properties=species:S:1:pos:R:3 comment="PBE LaGdMgSc, relaxed" dos_at_fermi_per_ev_cell=5.17 e_form_kj_per_mol_atoms=1 pbc="T T T"
La 0.000 0.000 0.000
Gd 3.889 3.889 3.889
Mg 1.944 1.944 1.944
Sc 5.833 5.833 5.833

Entry 18:
12
Lattice="3.598 -6.232 0.000 3.598 6.232 0.000 -2.397 0.000 7.759" Properties=species:S:1:pos:R:3 comment="PBE Pm6Ir2PdBr3, relaxed" dos_at_fermi_per_ev_cell=5.41 formation_energy_uncorrected_ev_per_atom=-1.09 pbc="T T T"
Pm -0.036 2.141 6.236
Pm 1.125 0.000 1.522
Pm -0.036 -2.141 6.236
Pm 4.835 2.141 1.523
Pm 3.674 0.000 6.237
Pm 4.835 -2.141 1.523
Ir 3.598 4.155 0.000
Ir 3.598 -4.155 0.000
Pd 3.598 0.000 0.000
Br -1.199 0.000 3.879
Br 2.400 2.096 3.879
Br 2.400 -2.096 3.879

Entry 19:
6
Lattice="3.959 0.000 0.000 0.000 3.959 0.000 0.000 0.000 16.149" Properties=species:S:1:pos:R:3 comment="PBE CaAc4Dy, relaxed" de_polymorph_mev_per_atom=0 dos_at_fermi_per_ev_cell=9.87 e_form_kj_per_mol_atoms=4 pbc="T T T"
Ca 0.000 0.000 0.000
Ac 0.000 0.000 5.582
Ac 0.000 0.000 10.566
Ac 1.980 1.980 2.853
Ac 1.980 1.980 13.295
Dy 1.980 1.980 8.074

Entry 20:
6
Lattice="2.945 -4.810 0.000 2.945 4.810 0.000 -2.907 0.000 4.807" Properties=species:S:1:pos:R:3 comment="PBE RhPb2, relaxed" dos_at_fermi_per_ev_cell=3.20 e_form_kj_per_mol_atoms=-8 pbc="T T T"
Rh 2.945 2.402 0.000
Rh 2.945 -2.402 0.000
Pb 1.492 3.220 2.404
Pb 1.475 0.000 0.813
Pb 1.508 0.000 3.994
Pb 1.492 -3.220 2.404

Entry 21:
12
Lattice="6.574 0.000 0.000 0.934 6.799 0.000 2.053 0.478 8.897" Properties=species:S:1:pos:R:3 comment="PBE Tb7CePm4, relaxed" dos_at_fermi_per_ev_cell=23.61 e_form_kj_per_mol_atoms=10 pbc="T T T"
Tb 0.000 0.000 0.000
Tb 2.596 4.298 3.425
Tb 3.604 1.617 5.679
Tb 4.021 5.107 0.455
Tb 5.540 2.170 8.441
Tb 5.958 5.659 3.217
Tb 6.965 2.979 5.472
Ce 0.467 3.399 0.000
Pm 1.812 0.921 2.759
Pm 4.462 5.011 6.404
Pm 5.099 2.266 2.492
Pm 7.750 6.356 6.137

Entry 22:
20
Lattice="5.563 3.212 2.823 -5.563 3.212 2.823 0.000 -6.424 2.823" Properties=species:S:1:pos:R:3 comment="PBE HoPa3Mn4N12, relaxed" dos_at_fermi_per_ev_cell=7.59 formation_energy_uncorrected_ev_per_atom=-0.57 pbc="T T T"
Ho 0.000 0.000 0.000
Pa -3.025 -1.184 2.823
Pa 2.538 -2.028 2.823
Pa 0.487 3.212 2.823
Mn -2.532 -4.386 4.235
Mn 0.000 0.000 4.235
Mn -2.532 4.386 4.235
Mn 5.064 0.000 4.235
N -3.512 -2.953 4.205
N -4.321 0.000 4.235
N -0.802 -4.518 4.265
N -3.512 2.953 4.265
N -1.734 0.000 4.235
N 2.161 -3.742 4.235
N 0.867 -1.502 4.235
N 0.867 1.502 4.235
N -0.802 4.518 4.205
N 4.314 -1.565 4.205
N 2.161 3.742 4.235
N 4.314 1.565 4.265

Entry 23:
4
Lattice="6.621 -1.567 0.000 6.621 1.567 0.000 -3.568 0.000 5.954" Properties=species:S:1:pos:R:3 comment="PBE WSe2Cl, relaxed" de_polymorph_mev_per_atom=0 dos_at_fermi_per_ev_cell=0.60 formation_energy_uncorrected_ev_per_atom=-0.32 pbc="T T T"
W 0.000 0.000 0.000
Se 5.643 0.000 1.663
Se 8.545 0.000 0.141
Cl 2.153 0.000 4.228

Entry 24:
5
Lattice="5.096 0.000 0.000 0.000 5.096 0.000 0.000 0.000 3.125" Properties=species:S:1:pos:R:3 comment="PBE HgHOs2Pt, relaxed" dos_at_fermi_per_ev_cell=4.93 total_energy_ev_per_atom=-5.02 pbc="T T T"
Hg 0.000 0.000 0.000
H 2.548 2.548 0.000
Os 0.000 2.548 1.563
Os 2.548 0.000 1.563
Pt 2.548 2.548 1.563